Here is a relaxed NaMnMoF6 crystal from the Alexandria database. Energies are from PBE+U.

Cell: 5.6764 5.6764 9.5794 Å, 90.00 90.00 120.00°
Sites, in units of the cell vectors:
Na: 0.0000 0.0000 0.0000
Na: 0.0000 0.0000 0.5000
Mn: 0.3333 0.6667 0.2500
Mn: 0.6667 0.3333 0.7500
Mo: 0.3333 0.6667 0.7500
Mo: 0.6667 0.3333 0.2500
F: 0.0062 0.3557 0.6373
F: 0.0062 0.6505 0.8627
F: 0.3495 0.3557 0.8627
F: 0.3495 0.9938 0.6373
F: 0.3557 0.0062 0.1373
F: 0.3557 0.3495 0.3627
F: 0.6443 0.6505 0.6373
F: 0.6443 0.9938 0.8627
F: 0.6505 0.0062 0.3627
F: 0.6505 0.6443 0.1373
F: 0.9938 0.3495 0.1373
F: 0.9938 0.6443 0.3627

Values from the calculation:
Magnetic moment, μB/f.u.: 8.0
E, eV per formula unit: -51.1
Space-group type: P-31c